Record 1
Pm2DyUO8 GGA-PBE relaxed; E_form (uncorrected) = -3222 meV/atom
1.0
3.901 -0.035 -0.002
0.047 5.470 -0.006
0.004 0.008 7.624
Pm O Dy U
2 8 1 1
Cartesian
1.975 2.720 1.902 Pm
1.977 2.724 5.714 Pm
1.965 1.221 7.621 O
1.988 4.125 3.806 O
3.915 1.254 5.893 O
0.040 4.194 5.892 O
1.988 4.222 -0.006 O
1.964 1.318 3.809 O
3.913 1.250 1.723 O
0.038 4.189 1.722 O
0.002 0.004 3.812 Dy
0.000 0.000 0.000 U


Record 2
TbY3N4 GGA-PBE relaxed; E_form (uncorrected) = -1685 meV/atom
1.0
4.927 0.000 0.000
0.000 4.927 0.000
0.000 0.000 4.927
N Y Tb
4 3 1
Cartesian
2.463 0.000 0.000 N
2.463 2.463 2.463 N
0.000 0.000 2.463 N
0.000 2.463 0.000 N
0.000 2.463 2.463 Y
2.463 2.463 0.000 Y
2.463 0.000 2.463 Y
0.000 0.000 0.000 Tb


Record 3
Cs2Ga2Te GGA-PBE relaxed; E_form (uncorrected) = -232 meV/atom
1.0
-6.119 5.140 -0.687
-5.123 -6.156 -0.429
-0.604 0.084 6.007
Ga Cs Te
4 4 2
Cartesian
-8.567 0.778 -0.873 Ga
-6.905 -3.471 -0.646 Ga
-4.337 2.454 -0.471 Ga
-2.675 -1.795 -0.244 Ga
-3.163 0.357 2.711 Cs
-8.683 -1.290 2.179 Cs
-5.107 -3.239 2.566 Cs
-6.739 2.306 2.324 Cs
0.000 0.000 0.000 Te
-5.621 -0.508 -0.558 Te


Record 4
Li2Pr3Ga8 GGA-PBE relaxed; E_form = -383 meV per atom
1.0
6.150 0.390 3.698
2.989 5.386 3.697
1.777 1.122 10.548
Li Pr Ga
2 3 8
Cartesian
4.514 2.853 11.242 Li
6.403 4.045 6.701 Li
8.610 5.442 13.202 Pr
0.000 0.000 0.000 Pr
2.306 1.456 4.741 Pr
5.198 1.331 6.612 Ga
4.034 2.550 8.627 Ga
7.484 2.775 11.331 Ga
5.867 3.706 13.126 Ga
5.050 3.192 4.816 Ga
6.882 4.348 9.316 Ga
3.432 4.123 6.612 Ga
5.718 5.567 11.331 Ga


Calculated DOS(E_F) in order - 8.9, 0.4, 1.3, 4.2 states/eV per cell
Calculated raw total energy in order - -8.644, -8.851, -2.413, -3.643 eV per atom